A) # Sr2CaMg2 PBE relaxed
data_Sr2CaMg2
_chemical_formula_sum 'Sr4 Ca2 Mg4'
_cell_length_a 9.1416
_cell_length_b 9.1416
_cell_length_c 4.7809
_cell_angle_alpha 90.00
_cell_angle_beta 90.00
_cell_angle_gamma 90.00
_space_group_name_H-M_alt 'P 1'
_space_group_IT_number 1
_space_group_name_Hall 'P 1'
loop_
_atom_site_label
_atom_site_type_symbol
_atom_site_fract_x
_atom_site_fract_y
_atom_site_fract_z
Sr1 Sr 0.1712 0.3288 0.0000
Sr2 Sr 0.3288 0.8288 0.0000
Sr3 Sr 0.6712 0.1712 0.0000
Sr4 Sr 0.8288 0.6712 0.0000
Ca1 Ca 0.0000 0.0000 0.5000
Ca2 Ca 0.5000 0.5000 0.5000
Mg1 Mg 0.1229 0.6229 0.5000
Mg2 Mg 0.3771 0.1229 0.5000
Mg3 Mg 0.6229 0.8771 0.5000
Mg4 Mg 0.8771 0.3771 0.5000
# M_tot	0.0	μB per formula unit
# mass density	2.194	Mg/m³

---

B) # Sr2CaMg2 PBE relaxed
data_Sr2CaMg2
_chemical_formula_sum 'Sr4 Ca2 Mg4'
_cell_length_a 9.9855
_cell_length_b 9.9855
_cell_length_c 3.8462
_cell_angle_alpha 90.00
_cell_angle_beta 90.00
_cell_angle_gamma 90.00
_space_group_name_H-M_alt 'P 1'
_space_group_IT_number 1
_space_group_name_Hall 'P 1'
loop_
_atom_site_label
_atom_site_type_symbol
_atom_site_fract_x
_atom_site_fract_y
_atom_site_fract_z
Sr1 Sr 0.1348 0.3652 0.0000
Sr2 Sr 0.3652 0.8652 0.0000
Sr3 Sr 0.6348 0.1348 0.0000
Sr4 Sr 0.8652 0.6348 0.0000
Ca1 Ca 0.0000 0.0000 0.0000
Ca2 Ca 0.5000 0.5000 0.0000
Mg1 Mg 0.1616 0.6616 0.5000
Mg2 Mg 0.3384 0.1616 0.5000
Mg3 Mg 0.6616 0.8384 0.5000
Mg4 Mg 0.8384 0.3384 0.5000
# M_tot	0.0	μB per formula unit
# mass density	2.286	Mg/m³

---

Which is the most stable structure? A) is the most stable.

---

A) # Sr12Ca7Mg PBE relaxed
data_Sr12Ca7Mg
_chemical_formula_sum 'Sr12 Ca7 Mg1'
_cell_length_a 13.0135
_cell_length_b 13.0135
_cell_length_c 13.0135
_cell_angle_alpha 116.58
_cell_angle_beta 116.58
_cell_angle_gamma 116.58
_space_group_name_H-M_alt 'P 1'
_space_group_IT_number 1
_space_group_name_Hall 'P 1'
loop_
_atom_site_label
_atom_site_type_symbol
_atom_site_fract_x
_atom_site_fract_y
_atom_site_fract_z
Sr1 Sr 0.0179 0.0499 0.3733
Sr2 Sr 0.0499 0.3733 0.0179
Sr3 Sr 0.0677 0.4486 0.6227
Sr4 Sr 0.3733 0.0179 0.0499
Sr5 Sr 0.3773 0.9323 0.5514
Sr6 Sr 0.4486 0.6227 0.0677
Sr7 Sr 0.5514 0.3773 0.9323
Sr8 Sr 0.6227 0.0677 0.4486
Sr9 Sr 0.6267 0.9821 0.9501
Sr10 Sr 0.9323 0.5514 0.3773
Sr11 Sr 0.9501 0.6267 0.9821
Sr12 Sr 0.9821 0.9501 0.6267
Ca1 Ca 0.0000 0.0000 0.0000
Ca2 Ca 0.1908 0.4509 0.4009
Ca3 Ca 0.4009 0.1908 0.4509
Ca4 Ca 0.4509 0.4009 0.1908
Ca5 Ca 0.5491 0.5990 0.8092
Ca6 Ca 0.5990 0.8092 0.5491
Ca7 Ca 0.8092 0.5491 0.5990
Mg1 Mg 0.5000 0.5000 0.5000
# M_tot	0.0	μB per formula unit
# mass density	2.179	Mg/m³

---

B) # Sr12Ca7Mg PBE relaxed
data_Sr12Ca7Mg
_chemical_formula_sum 'Sr12 Ca7 Mg1'
_cell_length_a 12.2106
_cell_length_b 12.2106
_cell_length_c 12.2106
_cell_angle_alpha 109.47
_cell_angle_beta 109.47
_cell_angle_gamma 109.47
_space_group_name_H-M_alt 'P 1'
_space_group_IT_number 1
_space_group_name_Hall 'P 1'
loop_
_atom_site_label
_atom_site_type_symbol
_atom_site_fract_x
_atom_site_fract_y
_atom_site_fract_z
Sr1 Sr 0.1028 0.3513 0.7515
Sr2 Sr 0.2485 0.5998 0.3513
Sr3 Sr 0.2485 0.8972 0.6487
Sr4 Sr 0.3513 0.2485 0.5998
Sr5 Sr 0.3513 0.7515 0.1028
Sr6 Sr 0.4002 0.6487 0.7515
Sr7 Sr 0.5998 0.3513 0.2485
Sr8 Sr 0.6487 0.2485 0.8972
Sr9 Sr 0.6487 0.7515 0.4002
Sr10 Sr 0.7515 0.1028 0.3513
Sr11 Sr 0.7515 0.4002 0.6487
Sr12 Sr 0.8972 0.6487 0.2485
Ca1 Ca 0.0000 0.0000 0.5000
Ca2 Ca 0.0000 0.5000 0.0000
Ca3 Ca 0.0000 0.5000 0.5000
Ca4 Ca 0.5000 0.0000 0.0000
Ca5 Ca 0.5000 0.0000 0.5000
Ca6 Ca 0.5000 0.5000 0.0000
Ca7 Ca 0.5000 0.5000 0.5000
Mg1 Mg 0.0000 0.0000 0.0000
# M_tot	0.2	μB per formula unit
# mass density	1.607	Mg/m³

---

Which is the most stable structure? A) is the most stable.

---

A) # SrCaMg PBE relaxed
data_SrCaMg
_chemical_formula_sum 'Sr1 Ca1 Mg1'
_cell_length_a 5.7399
_cell_length_b 5.7399
_cell_length_c 5.7652
_cell_angle_alpha 119.60
_cell_angle_beta 119.60
_cell_angle_gamma 60.27
_space_group_name_H-M_alt 'P 1'
_space_group_IT_number 1
_space_group_name_Hall 'P 1'
loop_
_atom_site_label
_atom_site_type_symbol
_atom_site_fract_x
_atom_site_fract_y
_atom_site_fract_z
Sr1 Sr 0.0000 0.0000 0.0000
Ca1 Ca 0.4999 0.4999 0.5034
Mg1 Mg 0.7499 0.7499 0.2521
# M_tot	0.0	μB per formula unit
# mass density	1.864	Mg/m³

---

B) # SrCaMg PBE relaxed
data_SrCaMg
_chemical_formula_sum 'Sr4 Ca4 Mg4'
_cell_length_a 9.0638
_cell_length_b 3.9898
_cell_length_c 12.8136
_cell_angle_alpha 90.00
_cell_angle_beta 90.00
_cell_angle_gamma 90.00
_space_group_name_H-M_alt 'P 1'
_space_group_IT_number 1
_space_group_name_Hall 'P 1'
loop_
_atom_site_label
_atom_site_type_symbol
_atom_site_fract_x
_atom_site_fract_y
_atom_site_fract_z
Sr1 Sr 0.1545 0.2500 0.0892
Sr2 Sr 0.3455 0.7500 0.5892
Sr3 Sr 0.6545 0.2500 0.4108
Sr4 Sr 0.8455 0.7500 0.9108
Ca1 Ca 0.0894 0.2500 0.3835
Ca2 Ca 0.4106 0.7500 0.8835
Ca3 Ca 0.5894 0.2500 0.1165
Ca4 Ca 0.9106 0.7500 0.6165
Mg1 Mg 0.1319 0.2500 0.7794
Mg2 Mg 0.3681 0.7500 0.2794
Mg3 Mg 0.6319 0.2500 0.7206
Mg4 Mg 0.8681 0.7500 0.2206
# M_tot	0.0	μB per formula unit
# mass density	2.179	Mg/m³

---

Which is the most stable structure? B) is the most stable.

---

A) # SrCaMg PBE relaxed
data_SrCaMg
_chemical_formula_sum 'Sr2 Ca2 Mg2'
_cell_length_a 5.1431
_cell_length_b 5.1431
_cell_length_c 9.2701
_cell_angle_alpha 90.00
_cell_angle_beta 90.00
_cell_angle_gamma 90.00
_space_group_name_H-M_alt 'P 1'
_space_group_IT_number 1
_space_group_name_Hall 'P 1'
loop_
_atom_site_label
_atom_site_type_symbol
_atom_site_fract_x
_atom_site_fract_y
_atom_site_fract_z
Sr1 Sr 0.2500 0.2500 0.1452
Sr2 Sr 0.7500 0.7500 0.8548
Ca1 Ca 0.2500 0.7500 0.5000
Ca2 Ca 0.7500 0.2500 0.5000
Mg1 Mg 0.2500 0.2500 0.7498
Mg2 Mg 0.7500 0.7500 0.2502
# M_tot	0.0	μB per formula unit
# mass density	2.059	Mg/m³

---

B) # SrCaMg PBE relaxed
data_SrCaMg
_chemical_formula_sum 'Sr1 Ca1 Mg1'
_cell_length_a 5.9275
_cell_length_b 5.9275
_cell_length_c 3.8848
_cell_angle_alpha 90.00
_cell_angle_beta 90.00
_cell_angle_gamma 120.00
_space_group_name_H-M_alt 'P 1'
_space_group_IT_number 1
_space_group_name_Hall 'P 1'
loop_
_atom_site_label
_atom_site_type_symbol
_atom_site_fract_x
_atom_site_fract_y
_atom_site_fract_z
Sr1 Sr 0.0000 0.0000 0.0000
Ca1 Ca 0.6667 0.3333 0.4389
Mg1 Mg 0.3333 0.6667 0.6119
# M_tot	0.0	μB per formula unit
# mass density	2.135	Mg/m³

---

Which is the most stable structure? A) is the most stable.

---

A) # SrCaMg PBE relaxed
data_SrCaMg
_chemical_formula_sum 'Sr1 Ca1 Mg1'
_cell_length_a 7.4388
_cell_length_b 7.4388
_cell_length_c 7.4388
_cell_angle_alpha 147.82
_cell_angle_beta 147.82
_cell_angle_gamma 46.15
_space_group_name_H-M_alt 'P 1'
_space_group_IT_number 1
_space_group_name_Hall 'P 1'
loop_
_atom_site_label
_atom_site_type_symbol
_atom_site_fract_x
_atom_site_fract_y
_atom_site_fract_z
Sr1 Sr 0.0000 0.0000 0.0000
Ca1 Ca 0.7092 0.7092 0.0000
Mg1 Mg 0.3417 0.3417 0.0000
# M_tot	0.0	μB per formula unit
# mass density	2.170	Mg/m³

---

B) # SrCaMg PBE relaxed
data_SrCaMg
_chemical_formula_sum 'Sr1 Ca1 Mg1'
_cell_length_a 5.8229
_cell_length_b 5.8229
_cell_length_c 5.8229
_cell_angle_alpha 60.00
_cell_angle_beta 60.00
_cell_angle_gamma 60.00
_space_group_name_H-M_alt 'P 1'
_space_group_IT_number 1
_space_group_name_Hall 'P 1'
loop_
_atom_site_label
_atom_site_type_symbol
_atom_site_fract_x
_atom_site_fract_y
_atom_site_fract_z
Sr1 Sr 0.0000 0.0000 0.0000
Ca1 Ca 0.2500 0.2500 0.2500
Mg1 Mg 0.5000 0.5000 0.5000
# M_tot	0.0	μB per formula unit
# mass density	1.808	Mg/m³

---

Which is the most stable structure? A) is the most stable.

---

A) # Sr6Ca3Mg PBE relaxed
data_Sr6Ca3Mg
_chemical_formula_sum 'Sr12 Ca6 Mg2'
_cell_length_a 10.8066
_cell_length_b 6.5691
_cell_length_c 14.3413
_cell_angle_alpha 90.00
_cell_angle_beta 111.78
_cell_angle_gamma 90.00
_space_group_name_H-M_alt 'P 1'
_space_group_IT_number 1
_space_group_name_Hall 'P 1'
loop_
_atom_site_label
_atom_site_type_symbol
_atom_site_fract_x
_atom_site_fract_y
_atom_site_fract_z
Sr1 Sr 0.0291 0.2500 0.4233
Sr2 Sr 0.1753 0.7500 0.1665
Sr3 Sr 0.2636 0.2500 0.0142
Sr4 Sr 0.3448 0.2500 0.3320
Sr5 Sr 0.3604 0.7500 0.8033
Sr6 Sr 0.4223 0.2500 0.6421
Sr7 Sr 0.5777 0.7500 0.3579
Sr8 Sr 0.6397 0.2500 0.1967
Sr9 Sr 0.6552 0.7500 0.6680
Sr10 Sr 0.7364 0.7500 0.9858
Sr11 Sr 0.8247 0.2500 0.8335
Sr12 Sr 0.9709 0.7500 0.5767
Ca1 Ca 0.0452 0.7500 0.8752
Ca2 Ca 0.1139 0.2500 0.7262
Ca3 Ca 0.2683 0.7500 0.4725
Ca4 Ca 0.7317 0.2500 0.5275
Ca5 Ca 0.8861 0.7500 0.2738
Ca6 Ca 0.9548 0.2500 0.1248
Mg1 Mg 0.4602 0.7500 0.0820
Mg2 Mg 0.5398 0.2500 0.9180
# M_tot	0.0	μB per formula unit
# mass density	2.354	Mg/m³

---

B) # Sr6Ca3Mg PBE relaxed
data_Sr6Ca3Mg
_chemical_formula_sum 'Sr12 Ca6 Mg2'
_cell_length_a 6.9730
_cell_length_b 11.8510
_cell_length_c 13.8005
_cell_angle_alpha 90.00
_cell_angle_beta 117.77
_cell_angle_gamma 90.00
_space_group_name_H-M_alt 'P 1'
_space_group_IT_number 1
_space_group_name_Hall 'P 1'
loop_
_atom_site_label
_atom_site_type_symbol
_atom_site_fract_x
_atom_site_fract_y
_atom_site_fract_z
Sr1 Sr 0.0038 0.1717 0.0577
Sr2 Sr 0.0038 0.3283 0.5577
Sr3 Sr 0.3463 0.6556 0.2336
Sr4 Sr 0.3463 0.8444 0.7336
Sr5 Sr 0.3881 0.1648 0.4638
Sr6 Sr 0.3881 0.3352 0.9638
Sr7 Sr 0.6119 0.6648 0.0362
Sr8 Sr 0.6119 0.8352 0.5362
Sr9 Sr 0.6537 0.1556 0.2664
Sr10 Sr 0.6537 0.3444 0.7664
Sr11 Sr 0.9962 0.6717 0.4423
Sr12 Sr 0.9962 0.8283 0.9423
Ca1 Ca 0.0320 0.5830 0.7546
Ca2 Ca 0.0320 0.9170 0.2546
Ca3 Ca 0.5000 0.0000 0.0000
Ca4 Ca 0.5000 0.5000 0.5000
Ca5 Ca 0.9680 0.0830 0.7454
Ca6 Ca 0.9680 0.4170 0.2454
Mg1 Mg 0.0000 0.0000 0.5000
Mg2 Mg 0.0000 0.5000 0.0000
# M_tot	0.0	μB per formula unit
# mass density	2.206	Mg/m³

---

Which is the most stable structure? A) is the most stable.